(1)
# FePt2

A relaxed FePt2 crystal (PBE-GGA, Alexandria via LeMat-Bulk).

Its crystal system is tetragonal. As for the density of states at the Fermi level: 2.57 states/eV/f.u.

abc: 4.1293 4.1293 2.9600
angles: 90.00 90.00 90.00
Positions (direct):
Pt  0.5000  0.0000  0.5000
Pt  0.0000  0.5000  0.5000
Fe  0.0000  0.0000  0.0000

(2)
# PaCoHg

A relaxed PaCoHg crystal (PBE-GGA, Alexandria via LeMat-Bulk).

Its crystal system is monoclinic. Its energy above the most stable polymorph in this dataset is 0.2991 eV/atom. As for the density of states at the Fermi level: 1.36 states/eV/f.u.

abc: 4.6498 4.6498 8.3074
angles: 119.60 119.60 62.90
Positions (direct):
Pa  0.7304  0.7304  0.8417
Pa  0.2696  0.2696  0.1583
Hg  0.7554  0.7554  0.3942
Hg  0.2446  0.2446  0.6058
Co  0.0526  0.0526  0.8018
Co  0.9474  0.9474  0.1982

(3)
# Ce3U2Se8

A relaxed Ce3U2Se8 crystal (PBE-GGA, Alexandria via LeMat-Bulk).

For the formation energy without anion corrections, the calculation gives -1.421 eV/atom. Its crystal system is orthorhombic. Its energy above the most stable polymorph in this dataset is 0.0000 eV/atom. As for the density of states at the Fermi level: 25.60 states/eV/f.u.

abc: 4.9883 9.9547 8.6219
angles: 125.26 90.00 90.00
Positions (direct):
Se  0.0000  0.1218  0.2437
Se  0.5000  0.8821  0.2513
Se  0.5000  0.1179  0.7487
Se  0.5000  0.6308  0.7487
Se  0.0000  0.8782  0.7563
Se  0.5000  0.3692  0.2513
Se  0.0000  0.6326  0.2653
Se  0.0000  0.3674  0.7347
Ce  0.5000  0.0000  0.0000
Ce  0.0000  0.2752  0.0000
Ce  0.0000  0.7248  0.0000
U  0.5000  0.2621  0.5242
U  0.5000  0.7379  0.4758

(4)
# VCr2Re3

A relaxed VCr2Re3 crystal (PBE-GGA, Alexandria via LeMat-Bulk).

Its crystal system is tetragonal. As for the density of states at the Fermi level: 4.17 states/eV/f.u.

abc: 3.0072 3.0072 9.0080
angles: 90.00 90.00 90.00
Positions (direct):
Cr  0.5000  0.5000  0.1649
Cr  0.5000  0.5000  0.8351
Re  0.0000  0.0000  0.3314
Re  0.0000  0.0000  0.6686
Re  0.0000  0.0000  0.0000
V  0.5000  0.5000  0.5000

(5)
# Pm2HoEr2Tm

A relaxed Pm2HoEr2Tm crystal (PBE-GGA, Alexandria via LeMat-Bulk).

Its crystal system is orthorhombic. As for the density of states at the Fermi level: 9.39 states/eV/f.u.

abc: 5.6100 6.9606 9.7133
angles: 90.00 90.00 90.00
Positions (direct):
Tm  0.0000  0.5078  0.5000
Tm  0.0000  0.0078  0.5000
Er  0.0000  0.2573  0.8366
Er  0.0000  0.7573  0.1634
Er  0.5000  0.2579  0.3312
Er  0.5000  0.7579  0.6688
Ho  0.5000  0.2579  0.6581
Ho  0.5000  0.7579  0.3419
Pm  0.0000  0.7574  0.8222
Pm  0.5000  0.5074  0.9999
Pm  0.0000  0.2574  0.1778
Pm  0.5000  0.0074  0.0001

(6)
# HfMnRh6

A relaxed HfMnRh6 crystal (PBE-GGA, Alexandria via LeMat-Bulk).

Its crystal system is tetragonal. As for the density of states at the Fermi level: 10.07 states/eV/f.u.

abc: 3.8658 5.5148 5.5148
angles: 89.98 90.00 90.00
Positions (direct):
Rh  0.5000  0.0000  0.5000
Rh  0.0000  0.2423  0.7577
Rh  0.0000  0.7577  0.7577
Rh  0.5000  0.5000  0.0000
Rh  0.0000  0.7577  0.2423
Rh  0.0000  0.2423  0.2423
Hf  0.5000  0.5000  0.5000
Mn  0.5000  0.0000  0.0000

(7)
# Ti2CuPt2

A relaxed Ti2CuPt2 crystal (PBE-GGA, Alexandria via LeMat-Bulk).

Its crystal system is monoclinic. Its energy above the most stable polymorph in this dataset is 0.0610 eV/atom. As for the density of states at the Fermi level: 5.15 states/eV/f.u.

abc: 2.8542 4.6957 6.2130
angles: 96.20 76.72 72.31
Positions (direct):
Cu  0.0000  0.0000  0.0000
Ti  0.2065  0.2079  0.3792
Ti  0.7935  0.7921  0.6208
Pt  0.5792  0.6273  0.2144
Pt  0.4208  0.3727  0.7856

(8)
# BeZnMo

A relaxed BeZnMo crystal (PBE-GGA, Alexandria via LeMat-Bulk).

Its crystal system is orthorhombic. Its energy above the most stable polymorph in this dataset is 0.0176 eV/atom. As for the density of states at the Fermi level: 1.29 states/eV/f.u.

abc: 6.1662 6.0674 2.6167
angles: 79.77 75.55 24.68
Positions (direct):
Be  0.9984  0.9984  0.0016
Zn  0.3454  0.3454  0.6546
Mo  0.6563  0.6563  0.3437

| no. | total DFT energy (no corrections) (eV per atom) |
| --- | --- |
| 1 | -6.69 |
| 2 | -5.62 |
| 3 | -6.67 |
| 4 | -11.03 |
| 5 | -4.54 |
| 6 | -8.32 |
| 7 | -6.96 |
| 8 | -5.13 |